A plane-wave DFT calculation with PBE was carried out for crystalline PaB2IrO8 at its relaxed geometry.

Calculated values
**Density**: 7.22 g cm⁻³
**Raw total energy**: -7.91 eV per atom

Cell lengths 4.8392, 4.8392, 6.4980 Å; angles 90.00, 90.00, 120.00 degrees
Last column: magnetic moment on the atom in μB.
Sites, in units of the cell vectors:
Ir 0.0000 0.0000 0.0000  0.83
Pa 0.0000 0.0000 0.5000  0.07
O 0.8324 0.6647 0.2104  0.11
O 0.3333 0.6667 0.4998  0.02
O 0.1676 0.3353 0.7896  0.11
O 0.3353 0.1676 0.2104  0.11
O 0.6647 0.8324 0.7896  0.11
O 0.1676 0.8324 0.7896  0.11
B 0.3333 0.6667 0.7202  -0.01
O 0.8324 0.1676 0.2104  0.11
B 0.6667 0.3333 0.2798  -0.01
O 0.6667 0.3333 0.5002  0.02

***

A plane-wave DFT calculation with PBE was carried out for crystalline BIrPbO6 at its relaxed geometry.

Calculated values
**Density**: 7.59 g cm⁻³
**Raw total energy**: -6.57 eV per atom

Cell lengths 5.1823, 4.4794, 5.3157 Å; angles 84.30, 87.54, 64.39 degrees
Sites, in units of the cell vectors:
Pb 0.9250 0.0375 0.0000
O 0.3653 0.5759 0.2153
Ir 0.3338 0.3331 0.5000
O 0.6209 0.4613 0.6559
O 0.6210 0.9178 0.3440
B 0.7829 0.6086 0.5000
O 0.9928 0.3383 0.3468
O 0.3654 0.0587 0.7846
O 0.9928 0.6689 0.6533

***

| no. | V (Å³/f.u.) | uncorrected formation energy (eV/atom) |
| --- | --- | --- |
| 1 | 131.8 | -1.958 |
| 2 | 110.7 | -1.122 |